Entry 1:
Material: Ga2HgBiO6
Method: DFT, GGA-PBE
State: optimized geometry

Unit cell a=7.191 b=7.191 c=5.786 alpha=100.49 beta=100.49 gamma=86.64
Fractional positions:
Ga 0.118 0.279 0.277
Ga 0.279 0.118 0.777
Ga 0.721 0.882 0.223
Ga 0.882 0.721 0.723
Hg 0.190 0.810 0.250
Hg 0.810 0.190 0.750
Bi 0.392 0.608 0.750
Bi 0.608 0.392 0.250
O 0.088 0.205 0.559
O 0.117 0.641 0.881
O 0.205 0.088 0.059
O 0.314 0.459 0.369
O 0.359 0.883 0.619
O 0.459 0.314 0.869
O 0.541 0.686 0.131
O 0.641 0.117 0.381
O 0.686 0.541 0.631
O 0.795 0.912 0.941
O 0.883 0.359 0.119
O 0.912 0.795 0.441

Its density of states at the Fermi level is 4.4 states/eV/cell. As for the space-group type: C2/c (15). Its crystal system is monoclinic. The formation energy (no corrections) comes out at -1.232 eV per atom. The total energy is -5.23 eV/atom.


Entry 2:
Material: LaTl2CdH
Method: DFT, GGA-PBE
State: optimized geometry

Unit cell a=5.027 b=5.027 c=4.659 alpha=90.00 beta=90.00 gamma=90.00
Fractional positions:
La 0.000 0.000 0.000
Tl 0.000 0.500 0.500
Tl 0.500 0.000 0.500
Cd 0.500 0.500 0.000
H 0.000 0.000 0.500

Its density of states at the Fermi level is 4.1 states/eV/cell. The calculation puts the relative energy among the computed polymorphs at 0 meV per atom. As for the space-group type: P4/mmm (123). Its crystal system is tetragonal. The total energy is -2.98 eV/atom.


Entry 3:
Material: MnAsHRh2
Method: DFT, GGA-PBE
State: optimized geometry

Unit cell a=3.955 b=3.955 c=3.849 alpha=90.00 beta=90.00 gamma=90.00
Fractional positions:
Mn 0.000 0.000 0.000
As 0.500 0.500 0.000
H 0.000 0.000 0.500
Rh 0.000 0.500 0.500
Rh 0.500 0.000 0.500

Its density of states at the Fermi level is 3.3 states/eV/cell. As for the space-group type: P4/mmm (123). Its crystal system is tetragonal. The total energy is -6.51 eV/atom.


What did the second record say?
Material: LaTl2CdH
Method: DFT, GGA-PBE
State: optimized geometry

Unit cell a=5.027 b=5.027 c=4.659 alpha=90.00 beta=90.00 gamma=90.00
Fractional positions:
La 0.000 0.000 0.000
Tl 0.000 0.500 0.500
Tl 0.500 0.000 0.500
Cd 0.500 0.500 0.000
H 0.000 0.000 0.500

Its density of states at the Fermi level is 4.1 states/eV/cell. The calculation puts the relative energy among the computed polymorphs at 0 meV per atom. As for the space-group type: P4/mmm (123). Its crystal system is tetragonal. The total energy is -2.98 eV/atom.